Record 1
A plane-wave DFT calculation with PBE-GGA was carried out for a relaxed structure of RbBa.

Output
**ΔH_f (0 K)**: 0.37 eV per atom
**Total magnetization**: 2.23 μB per cell

```
RbBa
1.0
8.565 0.000 0.000
0.000 8.565 0.000
0.000 0.000 8.527
Rb Ba
4 4
Direct
0.182 0.182 0.000 Rb
0.318 0.682 0.500 Rb
0.682 0.318 0.500 Rb
0.818 0.818 0.000 Rb
0.184 0.184 0.500 Ba
0.316 0.684 0.000 Ba
0.684 0.316 0.000 Ba
0.816 0.816 0.500 Ba
```


Record 2
A plane-wave DFT calculation with PBE-GGA was carried out for a relaxed structure of Ca2ZrSb.

Output
**Energy relative to the elements, uncorrected**: -173 meV per atom
**Total magnetization**: 1.01 μB per cell

```
Ca2ZrSb
1.0
-2.321 2.321 5.143
2.321 -2.321 5.143
2.321 2.321 -5.143
Ca Zr Sb
2 1 1
Direct
0.000 0.000 0.000 Ca
0.750 0.250 0.500 Ca
0.500 0.500 0.000 Zr
0.250 0.750 0.500 Sb
```


Record 3
A plane-wave DFT calculation with PBE-GGA was carried out for a relaxed structure of Ca2HgCl.

Output
**Energy relative to the elements, uncorrected**: -766 meV per atom
**Total magnetization**: 1.04 μB per cell
**Energy relative to the lowest polymorph listed for this composition**: 0.3133 eV per atom

```
Ca2HgCl
1.0
0.000 3.834 3.834
3.834 0.000 3.834
3.834 3.834 0.000
Ca Hg Cl
2 1 1
Direct
0.250 0.250 0.250 Ca
0.750 0.750 0.750 Ca
0.000 0.000 0.000 Hg
0.500 0.500 0.500 Cl
```


Record 4
A plane-wave DFT calculation with PBE-GGA was carried out for a relaxed structure of CaPdAuO4.

Output
**Energy relative to the elements, uncorrected**: -928 meV per atom
**Total magnetization**: 0.00 μB per cell

```
CaPdAuO4
1.0
-3.059 3.202 5.207
3.059 -3.202 5.207
3.059 3.202 -5.207
Ca Pd Au O
2 2 2 8
Direct
0.350 0.100 0.250 Ca
0.650 0.900 0.750 Ca
0.000 0.000 0.500 Pd
0.000 0.500 0.000 Pd
0.000 0.500 0.500 Au
0.500 0.500 0.000 Au
0.184 0.224 0.960 O
0.200 0.235 0.535 O
0.200 0.665 0.965 O
0.236 0.776 0.460 O
0.764 0.224 0.540 O
0.800 0.335 0.035 O
0.800 0.765 0.465 O
0.816 0.776 0.040 O
```


Record 5
A plane-wave DFT calculation with PBE-GGA was carried out for a relaxed structure of SrZr3Re.

Output
**ΔH_f (0 K)**: 0.39 eV per atom
**Total magnetization**: 0.00 μB per cell
**Energy relative to the lowest polymorph listed for this composition**: 0.0000 eV per atom

```
SrZr3Re
1.0
5.217 0.000 0.000
0.000 5.217 0.000
0.000 0.000 5.217
Sr Zr Re
1 3 1
Direct
0.000 0.000 0.000 Sr
0.000 0.500 0.500 Zr
0.500 0.000 0.500 Zr
0.500 0.500 0.000 Zr
0.500 0.500 0.500 Re
```


Record 6
A plane-wave DFT calculation with PBE-GGA was carried out for a relaxed structure of SrTc2Os.

Output
**ΔH_f (0 K)**: 0.61 eV per atom
**Total magnetization**: 0.00 μB per cell
**Energy relative to the lowest polymorph listed for this composition**: 0.0000 eV per atom

```
SrTc2Os
1.0
2.860 0.000 0.000
0.000 3.679 0.000
0.000 0.000 7.382
Sr Tc Os
1 2 1
Direct
0.000 0.000 0.000 Sr
0.000 0.000 0.512 Tc
0.500 0.500 0.330 Tc
0.500 0.500 0.678 Os
```


Among the records above, which one has the highest total magnetization?
RbBa


Which value of total magnetization does entry 2 give?
1.01 μB per cell